(1)
VASP calculation (PBE-GGA) on an optimized crystal structure of Tl2CuCl6.

abc: 6.6348 7.0484 12.6604
angles: 90.00 114.93 90.00
Space group P2_1/c (No. 14)
Inequivalent atoms, fractional coordinates:
Tl1 0.2094 0.0566 0.2483 [4 per cell]
Cu1 0.0000 0.0000 0.5000 [2 per cell]
Cl1 0.0389 0.2295 0.8975 [4 per cell]
Cl2 0.1992 0.6736 0.9298 [4 per cell]
Cl3 0.4034 0.1233 0.7200 [4 per cell]

Properties
- Magnetization: 0.00 μB per formula unit
- E: -25.3 eV per formula unit
- Calculated density: 4.24 g/cm3

(2)
VASP calculation (PBE-GGA) on an optimized crystal structure of TlCu2Cl.

abc: 3.6489 3.9503 5.8662
angles: 90.00 90.00 90.00
Space group Pmmm (No. 47)
Inequivalent atoms, fractional coordinates:
Tl1 0.0000 0.0000 0.0000 [1 per cell]
Cu1 0.5000 0.5000 0.2014 [2 per cell]
Cl1 0.0000 0.5000 0.5000 [1 per cell]

Properties
- Magnetization: 0.00 μB per formula unit
- Calculated density: 7.21 g/cm3
- E above lowest polymorph: 0.19 eV/f.u.

(3)
VASP calculation (PBE-GGA) on an optimized crystal structure of Tl3CuCl5.

abc: 8.4926 8.4926 14.4929
angles: 90.00 90.00 90.00
Space group I4/mcm (No. 140)
Inequivalent atoms, fractional coordinates:
Tl1 0.0000 0.0000 0.2500 [4 per cell]
Tl2 0.1690 0.3310 0.0000 [8 per cell]
Cu1 0.0000 0.5000 0.2500 [4 per cell]
Cl1 0.0000 0.0000 0.0000 [4 per cell]
Cl2 0.1459 0.3541 0.3496 [16 per cell]

Properties
- Magnetization: 0.93 μB per formula unit
- E: -27.9 eV per formula unit
- Calculated density: 5.43 g/cm3

(4)
VASP calculation (PBE-GGA) on an optimized crystal structure of Tl2Cu2Cl7.

abc: 9.0819 11.6517 6.5095
angles: 90.00 102.96 90.00
Space group C2/m (No. 12)
Inequivalent atoms, fractional coordinates:
Tl1 0.0000 0.1940 0.0000 [4 per cell]
Cu1 0.2258 0.5000 0.4087 [4 per cell]
Cl1 0.0000 0.5000 0.5000 [2 per cell]
Cl2 0.1147 0.0000 0.2724 [4 per cell]
Cl3 0.2413 0.3416 0.2134 [8 per cell]

Properties
- Magnetization: 0.00 μB per formula unit
- Calculated density: 3.88 g/cm3
- E above lowest polymorph: 0.13 eV/f.u.

(5)
VASP calculation (PBE-GGA) on an optimized crystal structure of TlCu3Cl6.

abc: 8.7480 13.2221 3.9234
angles: 90.00 90.00 90.00
Space group Cmmm (No. 65)
Inequivalent atoms, fractional coordinates:
Tl1 0.0000 0.0000 0.0000 [2 per cell]
Cu1 0.0000 0.5000 0.0000 [2 per cell]
Cu2 0.2500 0.2500 0.5000 [4 per cell]
Cl1 0.0000 0.1923 0.5000 [4 per cell]
Cl2 0.1848 0.3757 0.0000 [8 per cell]

Properties
- Magnetization: 0.00 μB per formula unit
- E: -31.2 eV per formula unit
- Calculated density: 4.45 g/cm3

(6)
VASP calculation (PBE-GGA) on an optimized crystal structure of TlCu2Cl.

abc: 3.2688 4.1786 5.7855
angles: 90.00 90.00 90.00
Space group Pmmm (No. 47)
Inequivalent atoms, fractional coordinates:
Tl1 0.0000 0.0000 0.0000 [1 per cell]
Cu1 0.0000 0.5000 0.5000 [1 per cell]
Cu2 0.5000 0.5000 0.0000 [1 per cell]
Cl1 0.5000 0.0000 0.5000 [1 per cell]

Properties
- Magnetization: 0.00 μB per formula unit
- Calculated density: 7.71 g/cm3
- E above lowest polymorph: 0.91 eV/f.u.

(7)
VASP calculation (PBE-GGA) on an optimized crystal structure of Tl4CuCl.

abc: 9.1007 9.1007 9.1007
angles: 90.00 90.00 90.00
Space group F-43m (No. 216)
Inequivalent atoms, fractional coordinates:
Tl1 0.1252 0.1252 0.1252 [16 per cell]
Cu1 0.0000 0.0000 0.5000 [4 per cell]
Cl1 0.2500 0.2500 0.7500 [4 per cell]

Properties
- Magnetization: 0.00 μB per formula unit
- E: -14.1 eV per formula unit
- Calculated density: 8.08 g/cm3

(8)
VASP calculation (PBE-GGA) on an optimized crystal structure of Tl2CuCl.

abc: 7.0905 4.0843 7.6852
angles: 90.00 107.54 90.00
Space group C2/m (No. 12)
Inequivalent atoms, fractional coordinates:
Tl1 0.2364 0.0000 0.2116 [4 per cell]
Cu1 0.0000 0.5000 0.0000 [2 per cell]
Cl1 0.0000 0.0000 0.5000 [2 per cell]

Properties
- Magnetization: 0.00 μB per formula unit
- Calculated density: 7.95 g/cm3
- E above lowest polymorph: 0.23 eV/f.u.

(9)
VASP calculation (PBE-GGA) on an optimized crystal structure of TlCuCl2.

abc: 4.1148 7.3376 8.4166
angles: 90.00 90.00 90.00
Space group Cmm2 (No. 35)
Inequivalent atoms, fractional coordinates:
Tl1 0.0000 0.0000 0.0000 [2 per cell]
Cu1 0.0000 0.5000 0.5090 [2 per cell]
Cl1 0.0000 0.0000 0.6181 [2 per cell]
Cl2 0.0000 0.5000 0.2382 [2 per cell]

Properties
- Magnetization: 0.00 μB per formula unit
- Calculated density: 4.43 g/cm3
- E above lowest polymorph: 0.59 eV/f.u.

(10)
VASP calculation (PBE-GGA) on an optimized crystal structure of TlCu2Cl.

abc: 3.7152 3.7152 11.5900
angles: 90.00 90.00 90.00
Space group I-4m2 (No. 119)
Inequivalent atoms, fractional coordinates:
Tl1 0.0000 0.0000 0.0000 [2 per cell]
Cu1 0.0000 0.0000 0.5000 [2 per cell]
Cu2 0.0000 0.5000 0.2500 [2 per cell]
Cl1 0.0000 0.5000 0.7500 [2 per cell]

Properties
- Magnetization: 0.00 μB per formula unit
- Calculated density: 7.62 g/cm3
- E above lowest polymorph: 0.92 eV/f.u.

(11)
VASP calculation (PBE-GGA) on an optimized crystal structure of TlCu2Cl8.

abc: 10.9011 10.6153 6.5204
angles: 90.00 110.10 90.00
Space group C2/m (No. 12)
Inequivalent atoms, fractional coordinates:
Tl1 0.0000 0.0000 0.0000 [2 per cell]
Cu1 0.1885 0.0000 0.6563 [4 per cell]
Cl1 0.0702 0.5000 0.1598 [4 per cell]
Cl2 0.1075 0.1580 0.8035 [8 per cell]
Cl3 0.2326 0.0000 0.3550 [4 per cell]

Properties
- Magnetization: 1.04 μB per formula unit
- Calculated density: 2.88 g/cm3
- E above lowest polymorph: 0.04 eV/f.u.

(12)
VASP calculation (PBE-GGA) on an optimized crystal structure of TlCu2Cl3.

abc: 9.2917 12.5283 5.1733
angles: 90.00 90.00 90.00
Space group Cmcm (No. 63)
Inequivalent atoms, fractional coordinates:
Tl1 0.0000 0.2159 0.2500 [4 per cell]
Cu1 0.1924 0.5000 0.0000 [8 per cell]
Cl1 0.0000 0.3993 0.7500 [4 per cell]
Cl2 0.2119 0.1304 0.7500 [8 per cell]

Properties
- Magnetization: 0.00 μB per formula unit
- Calculated density: 4.83 g/cm3
- E above lowest polymorph: 0.00 eV/f.u.

(13)
VASP calculation (PBE-GGA) on an optimized crystal structure of Tl5Cu2Cl12.

abc: 16.4606 7.6836 9.0967
angles: 90.00 108.32 90.00
Space group C2/m (No. 12)
Inequivalent atoms, fractional coordinates:
Tl1 0.0000 0.0000 0.0000 [2 per cell]
Tl2 0.1904 0.5000 0.3458 [4 per cell]
Tl3 0.1989 0.5000 0.8697 [4 per cell]
Cu1 0.0000 0.2560 0.5000 [4 per cell]
Cl1 0.0019 0.5000 0.6833 [4 per cell]
Cl2 0.0029 0.0000 0.6878 [4 per cell]
Cl3 0.1205 0.2334 0.0706 [8 per cell]
Cl4 0.1464 0.2486 0.5784 [8 per cell]

Properties
- Magnetization: 2.38 μB per formula unit
- E: -55.3 eV per formula unit
- Calculated density: 4.79 g/cm3

(14)
VASP calculation (PBE-GGA) on an optimized crystal structure of Tl2CuCl.

abc: 14.3200 3.6929 4.2680
angles: 90.00 90.18 90.00
Space group Cm (No. 8)
Inequivalent atoms, fractional coordinates:
Tl1 0.0000 0.0000 0.0000 [2 per cell]
Tl2 0.2002 0.0000 0.5048 [2 per cell]
Cu1 0.0191 0.5000 0.5000 [2 per cell]
Cl1 0.2947 0.5000 0.0065 [2 per cell]

Properties
- Magnetization: 0.00 μB per formula unit
- Calculated density: 7.47 g/cm3
- E above lowest polymorph: 0.12 eV/f.u.

(15)
VASP calculation (PBE-GGA) on an optimized crystal structure of TlCuCl2.

abc: 4.1532 3.5802 7.0862
angles: 90.00 93.00 90.00
Space group P2/m (No. 10)
Inequivalent atoms, fractional coordinates:
Tl1 0.0000 0.0000 0.0000 [1 per cell]
Cu1 0.5000 0.0000 0.5000 [1 per cell]
Cl1 0.4730 0.5000 0.7272 [2 per cell]

Properties
- Magnetization: 0.00 μB per formula unit
- Calculated density: 5.35 g/cm3
- E above lowest polymorph: 0.44 eV/f.u.

(16)
VASP calculation (PBE-GGA) on an optimized crystal structure of Tl3CuCl4.

abc: 9.2643 9.1337 6.4163
angles: 90.00 90.00 90.00
Space group Pmn2_1 (No. 31)
Inequivalent atoms, fractional coordinates:
Tl1 0.0000 0.0891 0.0000 [2 per cell]
Tl2 0.2042 0.3464 0.4963 [4 per cell]
Cu1 0.0000 0.8004 0.4446 [2 per cell]
Cl1 0.0000 0.0508 0.5087 [2 per cell]
Cl2 0.0000 0.7528 0.0680 [2 per cell]
Cl3 0.2236 0.6960 0.5253 [4 per cell]

Properties
- Magnetization: 0.14 μB per formula unit
- E: -25.2 eV per formula unit
- Calculated density: 5.01 g/cm3

(17)
VASP calculation (PBE-GGA) on an optimized crystal structure of Tl3Cu2Cl7.

abc: 4.9269 4.9269 25.2050
angles: 90.00 90.00 90.00
Space group I4/mmm (No. 139)
Inequivalent atoms, fractional coordinates:
Tl1 0.0000 0.0000 0.0000 [2 per cell]
Tl2 0.0000 0.0000 0.1809 [4 per cell]
Cu1 0.0000 0.0000 0.4043 [4 per cell]
Cl1 0.0000 0.0000 0.3106 [4 per cell]
Cl2 0.0000 0.0000 0.5000 [2 per cell]
Cl3 0.0000 0.5000 0.0936 [8 per cell]

Properties
- Magnetization: 0.00 μB per formula unit
- Calculated density: 5.37 g/cm3
- E above lowest polymorph: 0.00 eV/f.u.

(18)
VASP calculation (PBE-GGA) on an optimized crystal structure of Tl2CuCl.

abc: 7.4791 7.4791 7.4791
angles: 90.00 90.00 90.00
Space group Fm-3m (No. 225)
Inequivalent atoms, fractional coordinates:
Tl1 0.2500 0.2500 0.2500 [8 per cell]
Cu1 0.0000 0.0000 0.0000 [4 per cell]
Cl1 0.0000 0.0000 0.5000 [4 per cell]

Properties
- Magnetization: 0.00 μB per formula unit
- Calculated density: 8.06 g/cm3
- E above lowest polymorph: 0.47 eV/f.u.

(19)
VASP calculation (PBE-GGA) on an optimized crystal structure of TlCuCl2.

abc: 3.5956 7.2161 8.2810
angles: 90.00 90.00 90.00
Space group Cmmm (No. 65)
Inequivalent atoms, fractional coordinates:
Tl1 0.0000 0.0000 0.0000 [2 per cell]
Cu1 0.0000 0.0000 0.5000 [2 per cell]
Cl1 0.0000 0.5000 0.3087 [4 per cell]

Properties
- Magnetization: 0.13 μB per formula unit
- Calculated density: 5.24 g/cm3
- E above lowest polymorph: 0.82 eV/f.u.

(20)
VASP calculation (PBE-GGA) on an optimized crystal structure of TlCuCl2.

abc: 12.4007 3.6193 5.7204
angles: 90.00 102.41 90.00
Space group Cm (No. 8)
Inequivalent atoms, fractional coordinates:
Tl1 0.0000 0.0000 0.0000 [2 per cell]
Cu1 0.1561 0.0000 0.6917 [2 per cell]
Cl1 0.0531 0.5000 0.4349 [2 per cell]
Cl2 0.2475 0.5000 0.9142 [2 per cell]

Properties
- Magnetization: 0.00 μB per formula unit
- Calculated density: 4.49 g/cm3
- E above lowest polymorph: 0.53 eV/f.u.